No. 1
An optimized crystal structure of CePu2As2Rh7. Source: the Alexandria database, functional PBE.

Lattice parameters (Å, degrees): 5.861 5.696 12.802 90.00 90.05 90.00
Space group C2/m (No. 12)
Symmetry-distinct sites (fractional):
Ce 0.000 0.000 0.000
Pu 0.001 0.000 0.342
As 0.001 0.500 0.277
Rh 0.000 0.500 0.000
Rh 0.213 0.500 0.500
Rh 0.249 0.250 0.837

Calculated values
- total energy (eV per atom) = -8.529
- energy of formation (eV/atom) = -0.58

No. 2
An optimized crystal structure of CePuSbAs. Source: the Alexandria database, functional PBE.

Lattice parameters (Å, degrees): 4.339 4.339 6.125 90.00 90.00 90.00
Space group P4/mmm (No. 123)
Symmetry-distinct sites (fractional):
Ce 0.000 0.000 0.000
Pu 0.500 0.500 0.500
Sb 0.500 0.500 0.000
As 0.000 0.000 0.500

Calculated values
- total energy (eV per atom) = -8.216

No. 3
An optimized crystal structure of Ce2PuSc3As6. Source: the Alexandria database, functional PBE.

Lattice parameters (Å, degrees): 7.014 12.144 6.962 90.00 109.65 90.00
Space group C2/m (No. 12)
Symmetry-distinct sites (fractional):
Ce 0.000 0.167 0.000
Pu 0.000 0.500 0.000
Sc 0.000 0.000 0.500
Sc 0.000 0.333 0.500
As 0.242 0.500 0.732
As 0.245 0.166 0.732

Calculated values
- total energy (eV per atom) = -7.414
- energy of formation (eV/atom) = -1.32

No. 4
An optimized crystal structure of Ce2PuScAs4. Source: the Alexandria database, functional PBE.

Lattice parameters (Å, degrees): 7.097 4.132 7.141 90.00 109.59 90.00
Space group P2/m (No. 10)
Symmetry-distinct sites (fractional):
Ce 0.000 0.000 0.000
Ce 0.000 0.500 0.500
Pu 0.500 0.000 0.500
Sc 0.500 0.500 0.000
As 0.260 0.500 0.246
As 0.264 0.000 0.762

Calculated values
- total energy (eV per atom) = -7.688
- energy of formation (eV/atom) = -1.30